[1]
{
  "formula": "CsZr2Rh",
  "functional": "PBEsol",
  "state": "optimized geometry",
  "lattice": [[0.000, 3.459, 3.459], [3.459, 0.000, 3.459], [3.459, 3.459, 0.000]],
  "species": ["Cs", "Zr", "Zr", "Rh"],
  "frac_coords": [[0.000, 0.000, 0.000], [0.250, 0.250, 0.250], [0.750, 0.750, 0.750], [0.500, 0.500, 0.500]],
  "m_tot_mub_per_fu": 0.0,
  "dos_at_fermi_per_ev_atom": 1.24,
  "spacegroup": "Fm-3m (225)",
  "rho_g_cm3": 8.39,
  "energy_ev_per_cell": -24.65
}



[2]
{
  "formula": "CsSb3Ru",
  "functional": "PBEsol",
  "state": "optimized geometry",
  "lattice": [[5.261, 0.000, 0.000], [0.000, 5.261, 0.000], [0.000, 0.000, 5.261]],
  "species": ["Cs", "Sb", "Sb", "Sb", "Ru"],
  "frac_coords": [[0.000, 0.000, 0.000], [0.000, 0.500, 0.500], [0.500, 0.000, 0.500], [0.500, 0.500, 0.000], [0.500, 0.500, 0.500]],
  "m_tot_mub_per_fu": 0.0,
  "dos_at_fermi_per_ev_atom": 1.11,
  "spacegroup": "Pm-3m (221)",
  "rho_g_cm3": 6.83,
  "raw_formation_energy_ev_per_atom": 0.24,
  "energy_ev_per_cell": -23.57
}



[3]
{
  "formula": "CsSn2Ru",
  "functional": "PBEsol",
  "state": "optimized geometry",
  "lattice": [[0.000, 3.646, 3.646], [3.646, 0.000, 3.646], [3.646, 3.646, 0.000]],
  "species": ["Cs", "Sn", "Sn", "Ru"],
  "frac_coords": [[0.000, 0.000, 0.000], [0.250, 0.250, 0.250], [0.750, 0.750, 0.750], [0.500, 0.500, 0.500]],
  "m_tot_mub_per_fu": 0.1,
  "dos_at_fermi_per_ev_atom": 1.53,
  "spacegroup": "Fm-3m (225)",
  "rho_g_cm3": 8.08,
  "energy_ev_per_cell": -16.45
}



[4]
{
  "formula": "CsTa2Ru",
  "functional": "PBEsol",
  "state": "optimized geometry",
  "lattice": [[0.000, 3.330, 3.330], [3.330, 0.000, 3.330], [3.330, 3.330, 0.000]],
  "species": ["Cs", "Ta", "Ta", "Ru"],
  "frac_coords": [[0.000, 0.000, 0.000], [0.250, 0.250, 0.250], [0.750, 0.750, 0.750], [0.500, 0.500, 0.500]],
  "m_tot_mub_per_fu": 0.0,
  "dos_at_fermi_per_ev_atom": 1.15,
  "spacegroup": "Fm-3m (225)",
  "rho_g_cm3": 13.39,
  "energy_ev_per_cell": -30.43
}



[5]
{
  "formula": "Cs3TcRu",
  "functional": "PBEsol",
  "state": "optimized geometry",
  "lattice": [[5.631, 0.000, 0.000], [0.000, 5.631, 0.000], [0.000, 0.000, 5.631]],
  "species": ["Cs", "Cs", "Cs", "Tc", "Ru"],
  "frac_coords": [[0.000, 0.000, 0.500], [0.000, 0.500, 0.000], [0.500, 0.000, 0.000], [0.000, 0.000, 0.000], [0.500, 0.500, 0.500]],
  "m_tot_mub_per_fu": 2.8,
  "dos_at_fermi_per_ev_atom": 1.31,
  "spacegroup": "Pm-3m (221)",
  "rho_g_cm3": 5.56,
  "energy_ev_per_cell": -13.82
}



[6]
{
  "formula": "CsTiRu2",
  "functional": "PBEsol",
  "state": "optimized geometry",
  "lattice": [[0.000, 3.282, 3.282], [3.282, 0.000, 3.282], [3.282, 3.282, 0.000]],
  "species": ["Cs", "Ti", "Ru", "Ru"],
  "frac_coords": [[0.000, 0.000, 0.000], [0.500, 0.500, 0.500], [0.250, 0.250, 0.250], [0.750, 0.750, 0.750]],
  "m_tot_mub_per_fu": 0.0,
  "dos_at_fermi_per_ev_atom": 1.17,
  "spacegroup": "Fm-3m (225)",
  "rho_g_cm3": 8.99,
  "energy_ev_per_cell": -24.64
}



[7]
{
  "formula": "CsTl3Ru",
  "functional": "PBEsol",
  "state": "optimized geometry",
  "lattice": [[5.310, 0.000, 0.000], [0.000, 5.310, 0.000], [0.000, 0.000, 5.310]],
  "species": ["Cs", "Tl", "Tl", "Tl", "Ru"],
  "frac_coords": [[0.000, 0.000, 0.000], [0.000, 0.500, 0.500], [0.500, 0.000, 0.500], [0.500, 0.500, 0.000], [0.500, 0.500, 0.500]],
  "m_tot_mub_per_fu": 0.0,
  "dos_at_fermi_per_ev_atom": 0.32,
  "spacegroup": "Pm-3m (221)",
  "rho_g_cm3": 9.39,
  "energy_ev_per_cell": -18.74
}



[8]
{
  "formula": "CsYRu3",
  "functional": "PBEsol",
  "state": "optimized geometry",
  "lattice": [[4.812, 0.000, 0.000], [0.000, 4.812, 0.000], [0.000, 0.000, 4.812]],
  "species": ["Cs", "Y", "Ru", "Ru", "Ru"],
  "frac_coords": [[0.000, 0.000, 0.000], [0.500, 0.500, 0.500], [0.000, 0.000, 0.500], [0.000, 0.500, 0.000], [0.500, 0.000, 0.000]],
  "m_tot_mub_per_fu": 0.0,
  "dos_at_fermi_per_ev_atom": 1.40,
  "spacegroup": "Pm-3m (221)",
  "rho_g_cm3": 7.83,
  "energy_ev_per_cell": -27.52
}



[9]
{
  "formula": "CsZrRu2",
  "functional": "PBEsol",
  "state": "optimized geometry",
  "lattice": [[0.000, 3.373, 3.373], [3.373, 0.000, 3.373], [3.373, 3.373, 0.000]],
  "species": ["Cs", "Zr", "Ru", "Ru"],
  "frac_coords": [[0.000, 0.000, 0.000], [0.500, 0.500, 0.500], [0.250, 0.250, 0.250], [0.750, 0.750, 0.750]],
  "m_tot_mub_per_fu": 0.0,
  "dos_at_fermi_per_ev_atom": 1.12,
  "spacegroup": "Fm-3m (225)",
  "rho_g_cm3": 9.22,
  "energy_ev_per_cell": -25.85
}



[10]
{
  "formula": "Cs2S5",
  "functional": "PBEsol",
  "state": "optimized geometry",
  "lattice": [[6.706, 0.000, 0.000], [0.000, 7.142, 0.000], [0.000, 0.000, 18.131]],
  "species": ["Cs", "Cs", "Cs", "Cs", "Cs", "Cs", "Cs", "Cs", "S", "S", "S", "S", "S", "S", "S", "S", "S", "S", "S", "S", "S", "S", "S", "S", "S", "S", "S", "S"],
  "frac_coords": [[0.080, 0.244, 0.164], [0.107, 0.077, 0.516], [0.393, 0.923, 0.016], [0.420, 0.756, 0.664], [0.580, 0.256, 0.836], [0.607, 0.423, 0.484], [0.893, 0.577, 0.984], [0.920, 0.744, 0.336], [0.051, 0.739, 0.155], [0.065, 0.882, 0.812], [0.070, 0.116, 0.880], [0.088, 0.576, 0.525], [0.240, 0.321, 0.353], [0.260, 0.679, 0.853], [0.412, 0.424, 0.025], [0.430, 0.884, 0.380], [0.435, 0.118, 0.312], [0.449, 0.261, 0.655], [0.551, 0.761, 0.845], [0.565, 0.618, 0.188], [0.570, 0.384, 0.120], [0.588, 0.924, 0.475], [0.740, 0.179, 0.647], [0.760, 0.821, 0.147], [0.912, 0.076, 0.975], [0.930, 0.616, 0.620], [0.935, 0.382, 0.688], [0.949, 0.239, 0.345]],
  "m_tot_mub_per_fu": 0.0,
  "dos_at_fermi_per_ev_atom": 0.00,
  "spacegroup": "P2_12_12_1 (19)",
  "rho_g_cm3": 3.26,
  "raw_formation_energy_ev_per_atom": -0.66,
  "energy_ev_per_cell": -113.57
}



[11]
{
  "formula": "Cs2S",
  "functional": "PBEsol",
  "state": "optimized geometry",
  "lattice": [[8.504, 0.000, 0.000], [0.000, 5.285, 0.000], [0.000, 0.000, 10.275]],
  "species": ["Cs", "Cs", "Cs", "Cs", "Cs", "Cs", "Cs", "Cs", "S", "S", "S", "S"],
  "frac_coords": [[0.025, 0.250, 0.171], [0.145, 0.250, 0.574], [0.355, 0.750, 0.074], [0.475, 0.750, 0.671], [0.525, 0.250, 0.329], [0.645, 0.250, 0.926], [0.855, 0.750, 0.426], [0.975, 0.750, 0.829], [0.245, 0.250, 0.890], [0.255, 0.750, 0.390], [0.745, 0.250, 0.610], [0.755, 0.750, 0.110]],
  "m_tot_mub_per_fu": 0.0,
  "dos_at_fermi_per_ev_atom": 0.00,
  "spacegroup": "Pnma (62)",
  "rho_g_cm3": 4.28,
  "raw_formation_energy_ev_per_atom": -1.04,
  "energy_ev_per_cell": -37.59
}



[12]
{
  "formula": "Cs2S",
  "functional": "PBEsol",
  "state": "optimized geometry",
  "lattice": [[5.724, 0.000, 0.000], [-2.862, 4.957, 0.000], [0.000, 0.000, 7.665]],
  "species": ["Cs", "Cs", "Cs", "Cs", "S", "S"],
  "frac_coords": [[0.000, 0.000, 0.000], [0.000, 0.000, 0.500], [0.333, 0.667, 0.250], [0.667, 0.333, 0.750], [0.333, 0.667, 0.750], [0.667, 0.333, 0.250]],
  "m_tot_mub_per_fu": 0.0,
  "dos_at_fermi_per_ev_atom": 0.00,
  "spacegroup": "P6_3/mmc (194)",
  "rho_g_cm3": 4.55,
  "raw_formation_energy_ev_per_atom": -0.99,
  "energy_ev_per_cell": -18.48
}